(1)
Material: FeSiAu4
Method: DFT, PBE
State: optimized geometry

Unit cell a=5.455 b=5.455 c=5.455 alpha=60.00 beta=60.00 gamma=60.00
Positions (direct):
Fe 0.000 0.000 0.000
Si 0.750 0.750 0.750
Au 0.375 0.375 0.375
Au 0.375 0.375 0.875
Au 0.375 0.875 0.375
Au 0.875 0.375 0.375

## Properties
Space group: F-43m
Fermi-level density of states, states/eV/cell: 6.59
Uncorrected formation energy, eV per formula unit: 3.35

(2)
Material: Fe2SiAu
Method: DFT, PBE
State: optimized geometry

Unit cell a=5.146 b=7.719 c=2.737 alpha=90.00 beta=90.00 gamma=90.00
Positions (direct):
Fe 0.250 0.250 0.000
Fe 0.250 0.750 0.000
Fe 0.750 0.250 0.000
Fe 0.750 0.750 0.000
Si 0.000 0.000 0.500
Si 0.500 0.500 0.500
Au 0.000 0.500 0.500
Au 0.500 0.000 0.500

## Properties
Space group: Cmmm
Fermi-level density of states, states/eV/cell: 5.85
Uncorrected formation energy, eV per formula unit: 0.30

(3)
Material: Fe3SiAu
Method: DFT, PBE
State: optimized geometry

Unit cell a=4.723 b=4.723 c=4.723 alpha=90.00 beta=90.00 gamma=90.00
Positions (direct):
Fe 0.000 0.000 0.500
Fe 0.000 0.500 0.000
Fe 0.500 0.000 0.000
Si 0.500 0.500 0.500
Au 0.000 0.000 0.000

## Properties
Space group: Pm-3m
Excess energy over the best structure of this formula in the dataset, meV per atom: 853
Fermi-level density of states, states/eV/cell: 7.12
Uncorrected formation energy, eV per formula unit: 7.36

(4)
Material: Fe2SiAu
Method: DFT, PBE
State: optimized geometry

Unit cell a=2.785 b=2.785 c=6.664 alpha=90.00 beta=90.00 gamma=90.00
Positions (direct):
Fe 0.000 0.000 0.205
Fe 0.000 0.000 0.795
Si 0.500 0.500 0.000
Au 0.500 0.500 0.500

## Properties
Space group: P4/mmm
Fermi-level density of states, states/eV/cell: 4.29
Uncorrected formation energy, eV per formula unit: -0.23

(5)
Material: FeSiAu3
Method: DFT, PBE
State: optimized geometry

Unit cell a=4.710 b=4.710 c=4.710 alpha=90.00 beta=90.00 gamma=90.00
Positions (direct):
Fe 0.000 0.000 0.000
Si 0.500 0.500 0.500
Au 0.000 0.500 0.500
Au 0.500 0.000 0.500
Au 0.500 0.500 0.000

## Properties
Space group: Pm-3m
Excess energy over the best structure of this formula in the dataset, meV per atom: 0
Fermi-level density of states, states/eV/cell: 7.83
Uncorrected formation energy, eV per formula unit: 3.26

(6)
Material: Fe2SiAu
Method: DFT, PBE
State: optimized geometry

Unit cell a=2.726 b=2.726 c=25.238 alpha=90.00 beta=90.00 gamma=120.00
Positions (direct):
Fe 0.000 0.000 0.242
Fe 0.000 0.000 0.758
Fe 0.333 0.667 0.425
Fe 0.333 0.667 0.909
Fe 0.667 0.333 0.091
Fe 0.667 0.333 0.575
Si 0.000 0.000 0.500
Si 0.333 0.667 0.167
Si 0.667 0.333 0.833
Au 0.000 0.000 0.000
Au 0.333 0.667 0.667
Au 0.667 0.333 0.333

## Properties
Space group: R-3m
Fermi-level density of states, states/eV/cell: 8.20
Uncorrected formation energy, eV per formula unit: 0.37

(7)
Material: Fe2SiAu
Method: DFT, PBE
State: optimized geometry

Unit cell a=3.682 b=3.682 c=17.660 alpha=90.00 beta=90.00 gamma=90.00
Positions (direct):
Fe 0.210 0.250 0.125
Fe 0.250 0.710 0.375
Fe 0.250 0.790 0.875
Fe 0.290 0.250 0.625
Fe 0.710 0.750 0.625
Fe 0.750 0.210 0.875
Fe 0.750 0.290 0.375
Fe 0.790 0.750 0.125
Si 0.000 0.000 0.000
Si 0.000 0.500 0.250
Si 0.500 0.000 0.750
Si 0.500 0.500 0.500
Au 0.000 0.000 0.500
Au 0.000 0.500 0.750
Au 0.500 0.000 0.250
Au 0.500 0.500 0.000

## Properties
Space group: I-42d
Fermi-level density of states, states/eV/cell: 8.38
Uncorrected formation energy, eV per formula unit: 1.30

(8)
Material: FeSiAu2
Method: DFT, PBE
State: optimized geometry

Unit cell a=5.416 b=7.630 c=3.096 alpha=90.00 beta=90.00 gamma=90.00
Positions (direct):
Fe 0.000 0.000 0.000
Fe 0.500 0.500 0.000
Si 0.000 0.500 0.000
Si 0.500 0.000 0.000
Au 0.250 0.250 0.500
Au 0.250 0.750 0.500
Au 0.750 0.250 0.500
Au 0.750 0.750 0.500

## Properties
Space group: Cmmm
Fermi-level density of states, states/eV/cell: 4.36
Uncorrected formation energy, eV per formula unit: 0.92